1.
Density functional theory data (GGA-PBE) for a relaxed NdDySi3 crystal.

Calculated values
The value obtained for the total DFT energy (no corrections) is -5.454 eV/atom. Its symmetry is No. 107. The calculation puts the total magnetization at 0.0 μB/cell.

Cell lengths 7.204, 7.204, 7.204 Å; angles 146.47, 146.47, 48.15 degrees
Atoms (fractional coordinates):
Nd  0.000  0.000  0.000
Dy  0.686  0.686  0.000
Si  0.336  0.836  0.500
Si  0.463  0.463  0.000
Si  0.836  0.336  0.500


2.
Density functional theory data (GGA-PBE) for a relaxed NdDy2Zn4Si4 crystal.

Calculated values
The value obtained for the total DFT energy (no corrections) is -4.238 eV/atom. Its symmetry is No. 71. The calculation puts the total magnetization at 0.0 μB/cell.

Cell lengths 12.672, 12.672, 12.672 Å; angles 161.55, 161.31, 26.38 degrees
Atoms (fractional coordinates):
Nd  0.000  0.000  0.000
Dy  0.356  0.856  0.500
Dy  0.644  0.144  0.500
Zn  0.095  0.595  0.500
Zn  0.250  0.250  0.000
Zn  0.750  0.750  0.000
Zn  0.905  0.405  0.500
Si  0.190  0.690  0.500
Si  0.452  0.452  0.000
Si  0.548  0.548  0.000
Si  0.810  0.310  0.500


3.
Density functional theory data (GGA-PBE) for a relaxed Nd2DyZn4Si4 crystal.

Calculated values
The value obtained for the total DFT energy (no corrections) is -4.276 eV/atom. Its symmetry is No. 71. The calculation puts the total magnetization at 0.0 μB/cell.

Cell lengths 12.698, 12.698, 12.698 Å; angles 161.43, 161.20, 26.54 degrees
Atoms (fractional coordinates):
Nd  0.144  0.144  0.000
Nd  0.856  0.856  0.000
Dy  0.500  0.000  0.500
Zn  0.250  0.750  0.500
Zn  0.407  0.407  0.000
Zn  0.593  0.593  0.000
Zn  0.750  0.250  0.500
Si  0.047  0.547  0.500
Si  0.310  0.310  0.000
Si  0.690  0.690  0.000
Si  0.953  0.453  0.500


4.
Density functional theory data (GGA-PBE) for a relaxed NdSmDy crystal.

Calculated values
The value obtained for the total DFT energy (no corrections) is -3.967 eV/atom. Its symmetry is No. 216. The calculation puts the total magnetization at 0.0 μB/cell.

Cell lengths 5.497, 5.497, 5.497 Å; angles 60.00, 60.00, 60.00 degrees
Atoms (fractional coordinates):
Nd  0.000  0.000  0.000
Sm  0.750  0.750  0.750
Dy  0.500  0.500  0.500


5.
Density functional theory data (GGA-PBE) for a relaxed NdDySn2 crystal.

Calculated values
The value obtained for the total DFT energy (no corrections) is -4.288 eV/atom. Its symmetry is No. 38. The calculation puts the total magnetization at 0.0 μB/cell.

Cell lengths 3.354, 6.963, 6.963 Å; angles 53.91, 90.00, 90.00 degrees
Atoms (fractional coordinates):
Nd  0.000  0.000  0.000
Dy  0.000  0.282  0.282
Sn  0.000  0.524  0.524
Sn  0.000  0.751  0.751


6.
Density functional theory data (GGA-PBE) for a relaxed NdDySn crystal.

Calculated values
The value obtained for the total DFT energy (no corrections) is -4.869 eV/atom. Its symmetry is No. 216. The calculation puts the total magnetization at 0.0 μB/cell.

Cell lengths 5.218, 5.218, 5.218 Å; angles 60.00, 60.00, 60.00 degrees
Atoms (fractional coordinates):
Nd  0.000  0.000  0.000
Dy  0.500  0.500  0.500
Sn  0.750  0.750  0.750


7.
Density functional theory data (GGA-PBE) for a relaxed SrNdDy crystal.

Calculated values
The value obtained for the total DFT energy (no corrections) is -2.902 eV/atom. Its symmetry is No. 216. The calculation puts the total magnetization at 0.0 μB/cell.

Cell lengths 5.792, 5.792, 5.792 Å; angles 60.00, 60.00, 60.00 degrees
Atoms (fractional coordinates):
Sr  0.000  0.000  0.000
Nd  0.500  0.500  0.500
Dy  0.750  0.750  0.750


8.
Density functional theory data (GGA-PBE) for a relaxed Tb2Nd3Dy crystal.

Calculated values
The value obtained for the total DFT energy (no corrections) is -4.697 eV/atom. Its symmetry is No. 63. The calculation puts the total magnetization at 0.1 μB/cell.

Cell lengths 6.295, 6.295, 11.678 Å; angles 90.00, 90.00, 60.00 degrees
Atoms (fractional coordinates):
Tb  0.000  0.334  0.250
Tb  0.000  0.666  0.750
Tb  0.334  0.000  0.750
Tb  0.666  0.000  0.250
Nd  0.000  0.000  0.000
Nd  0.000  0.000  0.500
Nd  0.334  0.334  0.000
Nd  0.334  0.334  0.500
Nd  0.666  0.666  0.000
Nd  0.666  0.666  0.500
Dy  0.334  0.666  0.250
Dy  0.666  0.334  0.750


9.
Density functional theory data (GGA-PBE) for a relaxed NdDyTe crystal.

Calculated values
The value obtained for the total DFT energy (no corrections) is -4.743 eV/atom. Its symmetry is No. 216. The calculation puts the total magnetization at 0.6 μB/cell.

Cell lengths 5.139, 5.139, 5.139 Å; angles 60.00, 60.00, 60.00 degrees
Atoms (fractional coordinates):
Nd  0.000  0.000  0.000
Dy  0.500  0.500  0.500
Te  0.750  0.750  0.750


10.
Density functional theory data (GGA-PBE) for a relaxed Nd5DyTe6 crystal.

Calculated values
The value obtained for the total DFT energy (no corrections) is -5.340 eV/atom. Its symmetry is No. 12. The calculation puts the total magnetization at 0.0 μB/cell.

Cell lengths 7.755, 7.755, 7.729 Å; angles 99.60, 99.60, 120.06 degrees
Atoms (fractional coordinates):
Nd  0.000  0.000  0.000
Nd  0.168  0.832  0.500
Nd  0.326  0.674  0.000
Nd  0.674  0.326  0.000
Nd  0.832  0.168  0.500
Dy  0.500  0.500  0.500
Te  0.095  0.419  0.256
Te  0.259  0.259  0.750
Te  0.419  0.095  0.256
Te  0.581  0.905  0.744
Te  0.741  0.741  0.250
Te  0.905  0.581  0.744


11.
Density functional theory data (GGA-PBE) for a relaxed NdDy2Tl3 crystal.

Calculated values
The value obtained for the total DFT energy (no corrections) is -3.869 eV/atom. Its symmetry is No. 123. The calculation puts the total magnetization at 0.1 μB/cell.

Cell lengths 3.781, 3.781, 11.669 Å; angles 90.00, 90.00, 90.00 degrees
Atoms (fractional coordinates):
Nd  0.000  0.000  0.000
Dy  0.000  0.000  0.338
Dy  0.000  0.000  0.662
Tl  0.500  0.500  0.177
Tl  0.500  0.500  0.500
Tl  0.500  0.500  0.823


12.
Density functional theory data (GGA-PBE) for a relaxed NdDyTm crystal.

Calculated values
The value obtained for the total DFT energy (no corrections) is -3.908 eV/atom. Its symmetry is No. 216. The calculation puts the total magnetization at 0.0 μB/cell.

Cell lengths 5.435, 5.435, 5.435 Å; angles 60.00, 60.00, 60.00 degrees
Atoms (fractional coordinates):
Nd  0.000  0.000  0.000
Dy  0.500  0.500  0.500
Tm  0.750  0.750  0.750


13.
Density functional theory data (GGA-PBE) for a relaxed NdDyU crystal.

Calculated values
The value obtained for the total DFT energy (no corrections) is -5.625 eV/atom. Its symmetry is No. 216. The calculation puts the total magnetization at 4.3 μB/cell.

Cell lengths 5.301, 5.301, 5.301 Å; angles 60.00, 60.00, 60.00 degrees
Atoms (fractional coordinates):
Nd  0.000  0.000  0.000
Dy  0.500  0.500  0.500
U  0.750  0.750  0.750


14.
Density functional theory data (GGA-PBE) for a relaxed NdDyW crystal.

Calculated values
The value obtained for the total DFT energy (no corrections) is -6.009 eV/atom. Its symmetry is No. 216. The calculation puts the total magnetization at 1.0 μB/cell.

Cell lengths 4.901, 4.901, 4.901 Å; angles 60.00, 60.00, 60.00 degrees
Atoms (fractional coordinates):
Nd  0.000  0.000  0.000
Dy  0.250  0.250  0.250
W  0.500  0.500  0.500


15.
Density functional theory data (GGA-PBE) for a relaxed NdDyZn6 crystal.

Calculated values
The value obtained for the total DFT energy (no corrections) is -2.404 eV/atom. Its symmetry is No. 25. The calculation puts the total magnetization at 0.0 μB/cell.

Cell lengths 4.725, 6.677, 4.726 Å; angles 90.00, 90.00, 90.00 degrees
Atoms (fractional coordinates):
Nd  0.000  0.000  0.000
Dy  0.500  0.500  0.494
Zn  0.000  0.259  0.501
Zn  0.000  0.500  0.999
Zn  0.000  0.741  0.501
Zn  0.500  0.000  0.497
Zn  0.500  0.259  0.994
Zn  0.500  0.741  0.994


16.
Density functional theory data (GGA-PBE) for a relaxed NdDyZn6 crystal.

Calculated values
The value obtained for the total DFT energy (no corrections) is -2.404 eV/atom. Its symmetry is No. 123. The calculation puts the total magnetization at 0.0 μB/cell.

Cell lengths 4.725, 4.725, 6.678 Å; angles 90.00, 90.00, 90.00 degrees
Atoms (fractional coordinates):
Nd  0.000  0.000  0.000
Dy  0.500  0.500  0.500
Zn  0.000  0.000  0.500
Zn  0.000  0.500  0.259
Zn  0.000  0.500  0.741
Zn  0.500  0.000  0.259
Zn  0.500  0.000  0.741
Zn  0.500  0.500  0.000


17.
Density functional theory data (GGA-PBE) for a relaxed NdDyZr crystal.

Calculated values
The value obtained for the total DFT energy (no corrections) is -5.192 eV/atom. Its symmetry is No. 216. The calculation puts the total magnetization at 1.9 μB/cell.

Cell lengths 5.259, 5.259, 5.259 Å; angles 60.00, 60.00, 60.00 degrees
Atoms (fractional coordinates):
Nd  0.000  0.000  0.000
Dy  0.500  0.500  0.500
Zr  0.750  0.750  0.750


18.
Density functional theory data (GGA-PBE) for a relaxed DyNi crystal.

Calculated values
The value obtained for the total DFT energy (no corrections) is -4.641 eV/atom. Its symmetry is No. 216. The calculation puts the total magnetization at 0.1 μB/cell.

Cell lengths 4.239, 4.239, 4.239 Å; angles 60.00, 60.00, 60.00 degrees
Atoms (fractional coordinates):
Dy  0.000  0.000  0.000
Ni  0.750  0.750  0.750


19.
Density functional theory data (GGA-PBE) for a relaxed DyNi crystal.

Calculated values
The value obtained for the total DFT energy (no corrections) is -5.235 eV/atom. Its symmetry is No. 187. The calculation puts the total magnetization at 0.0 μB/cell.

Cell lengths 3.635, 3.635, 3.620 Å; angles 90.00, 90.00, 120.00 degrees
Atoms (fractional coordinates):
Dy  0.000  0.000  0.000
Ni  0.667  0.333  0.500


20.
Density functional theory data (GGA-PBE) for a relaxed Dy3Ni crystal.

Calculated values
The value obtained for the total DFT energy (no corrections) is -4.787 eV/atom. Its symmetry is No. 194. The calculation puts the total magnetization at 0.0 μB/cell.

Cell lengths 6.926, 6.926, 4.753 Å; angles 90.00, 90.00, 120.00 degrees
Atoms (fractional coordinates):
Dy  0.181  0.362  0.250
Dy  0.181  0.819  0.250
Dy  0.362  0.181  0.750
Dy  0.638  0.819  0.250
Dy  0.819  0.181  0.750
Dy  0.819  0.638  0.750
Ni  0.333  0.667  0.750
Ni  0.667  0.333  0.250


21.
Density functional theory data (GGA-PBE) for a relaxed DyNi crystal.

Calculated values
The value obtained for the total DFT energy (no corrections) is -5.317 eV/atom. Its symmetry is No. 225. The calculation puts the total magnetization at 0.0 μB/cell.

Cell lengths 3.894, 3.894, 3.894 Å; angles 60.00, 60.00, 60.00 degrees
Atoms (fractional coordinates):
Dy  0.000  0.000  0.000
Ni  0.500  0.500  0.500


22.
Density functional theory data (GGA-PBE) for a relaxed Dy5Ni2 crystal.

Calculated values
The value obtained for the total DFT energy (no corrections) is -5.154 eV/atom. Its symmetry is No. 15. The calculation puts the total magnetization at 0.0 μB/cell.

Cell lengths 8.732, 8.732, 6.825 Å; angles 95.92, 95.92, 42.54 degrees
Atoms (fractional coordinates):
Dy  0.066  0.934  0.750
Dy  0.149  0.284  0.312
Dy  0.284  0.149  0.812
Dy  0.296  0.512  0.078
Dy  0.488  0.704  0.422
Dy  0.512  0.296  0.578
Dy  0.704  0.488  0.922
Dy  0.716  0.851  0.188
Dy  0.851  0.716  0.688
Dy  0.934  0.066  0.250
Ni  0.093  0.687  0.432
Ni  0.313  0.907  0.068
Ni  0.687  0.093  0.932
Ni  0.907  0.313  0.568


23.
Density functional theory data (GGA-PBE) for a relaxed Dy2Ni3 crystal.

Calculated values
The value obtained for the total DFT energy (no corrections) is -5.121 eV/atom. Its symmetry is No. 167. The calculation puts the total magnetization at 0.0 μB/cell.

Cell lengths 6.650, 6.650, 6.650 Å; angles 57.74, 57.74, 57.74 degrees
Atoms (fractional coordinates):
Dy  0.105  0.105  0.105
Dy  0.395  0.395  0.395
Dy  0.605  0.605  0.605
Dy  0.895  0.895  0.895
Ni  0.037  0.250  0.463
Ni  0.250  0.463  0.037
Ni  0.463  0.037  0.250
Ni  0.537  0.963  0.750
Ni  0.750  0.537  0.963
Ni  0.963  0.750  0.537


24.
Density functional theory data (GGA-PBE) for a relaxed Dy3Ni crystal.

Calculated values
The value obtained for the total DFT energy (no corrections) is -4.701 eV/atom. Its symmetry is No. 139. The calculation puts the total magnetization at 0.0 μB/cell.

Cell lengths 6.079, 6.079, 6.079 Å; angles 137.88, 137.88, 61.08 degrees
Atoms (fractional coordinates):
Dy  0.000  0.000  0.000
Dy  0.250  0.750  0.500
Dy  0.750  0.250  0.500
Ni  0.500  0.500  0.000


25.
Density functional theory data (GGA-PBE) for a relaxed Dy2Ni crystal.

Calculated values
The value obtained for the total DFT energy (no corrections) is -5.082 eV/atom. Its symmetry is No. 225. The calculation puts the total magnetization at 0.0 μB/cell.

Cell lengths 4.742, 4.742, 4.742 Å; angles 60.00, 60.00, 60.00 degrees
Atoms (fractional coordinates):
Dy  0.250  0.250  0.250
Dy  0.750  0.750  0.750
Ni  0.000  0.000  0.000


26.
Density functional theory data (GGA-PBE) for a relaxed Dy2Ni17 crystal.

Calculated values
The value obtained for the total DFT energy (no corrections) is -5.663 eV/atom. Its symmetry is No. 194. The calculation puts the total magnetization at 13.2 μB/cell.

Cell lengths 8.145, 8.145, 8.101 Å; angles 90.00, 90.00, 120.00 degrees
Atoms (fractional coordinates):
Dy  0.000  0.000  0.250
Dy  0.000  0.000  0.750
Dy  0.333  0.667  0.250
Dy  0.667  0.333  0.750
Ni  0.000  0.500  0.000
Ni  0.000  0.500  0.500
Ni  0.040  0.369  0.750
Ni  0.040  0.671  0.750
Ni  0.165  0.331  0.020
Ni  0.165  0.331  0.480
Ni  0.165  0.835  0.020
Ni  0.165  0.835  0.480
Ni  0.329  0.369  0.750
Ni  0.329  0.960  0.750
Ni  0.331  0.165  0.520
Ni  0.331  0.165  0.980
Ni  0.333  0.667  0.603
Ni  0.333  0.667  0.897
Ni  0.369  0.040  0.250
Ni  0.369  0.329  0.250
Ni  0.500  0.000  0.000
Ni  0.500  0.000  0.500
Ni  0.500  0.500  0.000
Ni  0.500  0.500  0.500
Ni  0.631  0.671  0.750
Ni  0.631  0.960  0.750
Ni  0.667  0.333  0.103
Ni  0.667  0.333  0.397
Ni  0.669  0.835  0.020
Ni  0.669  0.835  0.480
Ni  0.671  0.040  0.250
Ni  0.671  0.631  0.250
Ni  0.835  0.165  0.520
Ni  0.835  0.165  0.980
Ni  0.835  0.669  0.520
Ni  0.835  0.669  0.980
Ni  0.960  0.329  0.250
Ni  0.960  0.631  0.250